## PrMoO3 (PBE with a Hubbard U)

Data for PrMoO3 after structural relaxation.

**Magnetization**: 12.000 μB per cell
**Electronic total energy**: -7.8431 eV/atom
**Crystal system**: monoclinic
**SG**: C2/c (15)
**Calculated density**: 6.8 g/cm³

Unit cell a=5.872 b=5.872 c=10.104 alpha=107.83 beta=107.83 gamma=59.21
Fractional positions:
Pr: 0.071 0.651 0.863
Pr: 0.349 0.929 0.637
Pr: 0.651 0.071 0.363
Pr: 0.929 0.349 0.137
Mo: 0.000 0.500 0.500
Mo: 0.264 0.736 0.250
Mo: 0.500 0.000 0.000
Mo: 0.736 0.264 0.750
O: 0.143 0.196 0.851
O: 0.160 0.706 0.434
O: 0.196 0.143 0.351
O: 0.294 0.840 0.066
O: 0.321 0.370 0.673
O: 0.370 0.321 0.173
O: 0.630 0.679 0.827
O: 0.679 0.630 0.327
O: 0.706 0.160 0.934
O: 0.804 0.857 0.649
O: 0.840 0.294 0.566
O: 0.857 0.804 0.149